Below is CaAl2Au9 after structural relaxation, with properties calculated at the PBE-GGA level.

Space-group type: I4_1/amd (141)
Energy of formation from the pure elements, meV per atom: -345
Crystal system: tetragonal

Cell: 8.794 8.794 8.794 Å, 99.33 99.33 132.52°
Atoms (fractional coordinates):
Ca 0.375 0.625 0.750
Ca 0.625 0.375 0.250
Al 0.000 0.000 0.000
Al 0.000 0.000 0.500
Al 0.000 0.500 0.000
Al 0.500 0.000 0.500
Au 0.117 0.554 0.321
Au 0.117 0.797 0.564
Au 0.125 0.875 0.250
Au 0.203 0.267 0.321
Au 0.203 0.883 0.936
Au 0.267 0.203 0.821
Au 0.267 0.446 0.064
Au 0.446 0.267 0.564
Au 0.446 0.883 0.179
Au 0.554 0.117 0.821
Au 0.554 0.733 0.436
Au 0.733 0.554 0.936
Au 0.733 0.797 0.179
Au 0.797 0.117 0.064
Au 0.797 0.733 0.679
Au 0.875 0.125 0.750
Au 0.883 0.203 0.436
Au 0.883 0.446 0.679